1.
DFT (PBE) results for an optimized crystal structure of Sm2TaGe4Ir3.

Structure (extended XYZ):
```
10
Lattice="4.186 0.000 0.000 0.000 4.186 0.000 0.000 0.000 10.842" Properties=species:S:1:pos:R:3 pbc="T T T"
Sm 0.000 2.093 2.622
Sm 2.093 0.000 8.219
Ta 0.000 0.000 5.421
Ge 0.000 0.000 0.000
Ge 0.000 2.093 7.023
Ge 2.093 0.000 3.818
Ge 2.093 2.093 0.000
Ir 0.000 2.093 9.492
Ir 2.093 0.000 1.350
Ir 2.093 2.093 5.421
```

Computed properties:
- Crystal system: tetragonal

=====

2.
DFT (PBE) results for an optimized crystal structure of Na4GaRh3O8.

Structure (extended XYZ):
```
16
Lattice="3.131 1.808 5.246 -3.131 1.808 5.246 0.000 -3.616 5.246" Properties=species:S:1:pos:R:3 pbc="T T T"
Na 0.000 0.000 0.000
Na -1.566 -0.904 5.246
Na -1.566 0.904 10.493
Na 0.000 1.808 5.246
Ga 0.000 0.000 7.870
Rh -3.131 0.000 7.870
Rh -1.566 0.904 2.623
Rh 1.566 0.904 2.623
O 0.000 0.000 3.656
O -1.534 -0.885 8.917
O 0.000 -1.771 6.822
O -1.534 0.885 6.822
O 1.534 -0.885 8.917
O 0.000 1.771 8.917
O 1.534 0.885 6.822
O 0.000 0.000 12.083
```

Computed properties:
- Crystal system: trigonal

=====

3.
DFT (PBE) results for an optimized crystal structure of ErAlFeSi2.

Structure (extended XYZ):
```
10
Lattice="5.393 0.000 0.000 0.000 5.372 0.000 0.000 0.000 5.519" Properties=species:S:1:pos:R:3 pbc="T T T"
Er 1.348 0.000 1.215
Er 4.045 0.000 4.304
Al 1.348 2.686 2.009
Al 4.045 2.686 3.510
Fe 0.000 2.686 0.000
Fe 2.697 2.686 0.000
Si 1.348 1.313 4.131
Si 1.348 4.060 4.131
Si 4.045 1.313 1.388
Si 4.045 4.060 1.388
```

Computed properties:
- Crystal system: orthorhombic

=====

4.
DFT (PBE) results for an optimized crystal structure of Pm4Ga2Te.

Structure (extended XYZ):
```
14
Lattice="-4.643 4.643 4.600 4.643 -4.643 4.600 4.643 4.643 -4.600" Properties=species:S:1:pos:R:3 pbc="T T T"
Pm 6.284 0.671 0.581
Pm 3.972 3.001 -1.719
Pm 0.671 3.001 -0.581
Pm 0.671 1.641 2.881
Pm 3.972 1.641 4.019
Pm 1.641 -0.671 6.320
Pm 3.001 5.314 1.719
Pm -1.641 3.972 5.181
Ga 2.321 -1.214 3.450
Ga 3.429 2.321 1.150
Ga 2.321 5.856 -1.150
Ga 1.214 2.321 5.750
Te 0.000 0.000 0.000
Te 0.000 4.643 2.300
```

Computed properties:
- Crystal system: tetragonal

=====

5.
DFT (PBE) results for an optimized crystal structure of TaBe2Tc.

Structure (extended XYZ):
```
4
Lattice="-1.662 2.048 3.742 1.662 -2.048 3.742 1.662 2.048 -3.742" Properties=species:S:1:pos:R:3 pbc="T T T"
Ta 0.000 0.000 0.000
Be 1.662 0.000 1.920
Be 0.000 2.048 1.823
Tc 0.000 0.000 3.742
```

Computed properties:
- Crystal system: orthorhombic

=====

6.
DFT (PBE) results for an optimized crystal structure of Zn2CuCl6.

Structure (extended XYZ):
```
18
Lattice="6.992 -5.966 0.000 6.992 5.966 0.000 -3.085 0.000 5.920" Properties=species:S:1:pos:R:3 pbc="T T T"
Zn 1.869 1.114 1.853
Zn 0.326 -1.114 4.813
Zn 10.573 1.114 1.107
Zn 9.031 -1.114 4.067
Cu 4.679 2.235 4.440
Cu 6.221 -2.235 1.480
Cl 0.220 0.720 3.396
Cl 2.654 2.921 5.179
Cl 1.762 -0.720 0.436
Cl 4.071 1.334 2.430
Cl 6.703 2.921 3.702
Cl 2.529 -1.334 5.390
Cl 8.371 1.334 0.531
Cl 4.197 -2.921 2.219
Cl 6.829 -1.334 3.491
Cl 9.138 0.720 5.484
Cl 8.246 -2.921 0.742
Cl 10.680 -0.720 2.524
```

Computed properties:
- Crystal system: monoclinic

=====

7.
DFT (PBE) results for an optimized crystal structure of Mg2AuO.

Structure (extended XYZ):
```
8
Lattice="-3.029 3.029 3.669 3.029 -3.029 3.669 3.029 3.029 -3.669" Properties=species:S:1:pos:R:3 pbc="T T T"
Mg 4.544 0.887 -0.917
Mg 0.887 1.515 0.917
Mg -1.515 2.142 2.752
Mg 2.142 1.515 4.586
Au 3.029 0.000 1.834
Au 0.000 0.000 3.669
O 0.000 0.000 0.000
O 0.000 3.029 1.834
```

Computed properties:
- Crystal system: tetragonal

=====

8.
DFT (PBE) results for an optimized crystal structure of SrErNi2.

Structure (extended XYZ):
```
4
Lattice="3.467 0.000 0.000 0.000 3.467 0.000 0.000 0.000 7.087" Properties=species:S:1:pos:R:3 pbc="T T T"
Sr 0.000 0.000 0.000
Er 0.000 0.000 3.544
Ni 1.733 1.733 2.166
Ni 1.733 1.733 4.921
```

Computed properties:
- Crystal system: tetragonal

=====

9.
DFT (PBE) results for an optimized crystal structure of SmMgTiS4.

Structure (extended XYZ):
```
14
Lattice="-3.739 3.921 5.465 3.739 -3.921 5.465 3.739 3.921 -5.465" Properties=species:S:1:pos:R:3 pbc="T T T"
Sm 0.000 0.000 0.000
Sm 0.000 3.921 0.000
Mg 3.739 1.961 1.391
Mg 0.000 1.961 4.074
Ti 1.869 1.961 -2.733
Ti 1.869 -1.961 2.733
S 3.739 -0.207 2.685
S 3.739 3.714 -2.685
S 1.910 1.961 -0.233
S 5.568 1.961 -0.233
S -1.829 1.961 5.698
S 1.829 1.961 5.698
S 0.000 0.207 8.150
S 0.000 4.128 2.780
```

Computed properties:
- Crystal system: orthorhombic

=====

10.
DFT (PBE) results for an optimized crystal structure of RbCuHgCl5.

Structure (extended XYZ):
```
16
Lattice="4.227 -6.304 0.000 4.227 6.304 0.000 -3.424 0.000 8.842" Properties=species:S:1:pos:R:3 pbc="T T T"
Rb 1.659 4.316 6.631
Rb 3.371 -4.316 2.210
Cu 3.371 4.017 2.210
Cu 1.659 -4.017 6.631
Hg 4.227 0.000 0.000
Hg 2.515 0.000 4.421
Cl -1.903 0.849 8.237
Cl 2.171 2.605 3.544
Cl -0.191 -0.849 3.816
Cl 4.570 2.605 0.877
Cl 1.659 0.969 6.631
Cl 3.371 -0.969 2.210
Cl 0.459 -2.605 7.965
Cl 5.220 0.849 5.026
Cl 2.858 -2.605 5.297
Cl 6.932 -0.849 0.605
```

Computed properties:
- Crystal system: monoclinic

=====

11.
DFT (PBE) results for an optimized crystal structure of Ce2IrCl.

Structure (extended XYZ):
```
4
Lattice="2.017 1.164 7.617 -2.017 1.164 7.617 0.000 -2.329 7.617" Properties=species:S:1:pos:R:3 pbc="T T T"
Ce 0.000 0.000 0.000
Ce 0.000 0.000 4.503
Ir 0.000 0.000 13.690
Cl 0.000 0.000 9.796
```

Computed properties:
- Crystal system: trigonal

=====

12.
DFT (PBE) results for an optimized crystal structure of BaPr4Ge4.

Structure (extended XYZ):
```
18
Lattice="9.989 0.000 0.000 0.000 9.989 0.000 0.000 0.000 6.023" Properties=species:S:1:pos:R:3 pbc="T T T"
Ba 2.497 2.497 1.506
Ba 7.492 7.492 4.518
Pr 1.146 6.293 0.791
Pr 1.298 8.844 3.803
Pr 3.696 6.140 3.803
Pr 3.849 8.691 0.791
Pr 6.140 1.298 5.233
Pr 6.293 3.849 2.221
Pr 8.691 1.146 2.221
Pr 8.844 3.696 5.233
Ge 0.663 5.725 3.866
Ge 0.730 9.326 0.854
Ge 4.265 5.658 0.854
Ge 4.332 9.259 3.866
Ge 5.658 0.730 2.157
Ge 5.725 4.332 5.169
Ge 9.259 0.663 5.169
Ge 9.326 4.265 2.157
```

Computed properties:
- Crystal system: tetragonal

=====

no.,DFT total energy (eV per atom)
1,-7.29
2,-5.68
3,-6.01
4,-4.78
5,-7.48
6,-2.86
7,-4.21
8,-4.63
9,-5.92
10,-2.70
11,-6.77
12,-4.98